# 1
# Pr2CdSb4, PBEsol geometry, DFT SCAN
data_Pr2CdSb4
_chemical_formula_sum 'Pr2 Cd1 Sb4'
_cell_length_a 4.3364
_cell_length_b 4.3364
_cell_length_c 10.6063
_cell_angle_alpha 90.00
_cell_angle_beta 90.00
_cell_angle_gamma 90.00
_space_group_name_H-M_alt 'P -4 m 2'
_space_group_IT_number 115
_space_group_name_Hall 'P -4 -2'
loop_
_atom_site_label
_atom_site_fract_x
_atom_site_fract_y
_atom_site_fract_z
Pr1 0.0000 0.5000 0.2381
Cd1 0.5000 0.5000 0.5000
Sb1 0.0000 0.0000 0.0000
Sb2 0.0000 0.5000 0.6713
Sb3 0.5000 0.5000 0.0000
# Formation energy (no corrections) in kcal/mol of atoms: -18.748
# Energy in eV per atom: -38.829
# M_tot in μB/f.u.: 0.0

# 2
# ZrSc2Mo, PBEsol geometry, DFT SCAN
data_ZrSc2Mo
_chemical_formula_sum 'Zr1 Sc2 Mo1'
_cell_length_a 3.9558
_cell_length_b 4.1853
_cell_length_c 4.7742
_cell_angle_alpha 90.00
_cell_angle_beta 90.00
_cell_angle_gamma 90.00
_space_group_name_H-M_alt 'P m m m'
_space_group_IT_number 47
_space_group_name_Hall '-P 2 2'
loop_
_atom_site_label
_atom_site_fract_x
_atom_site_fract_y
_atom_site_fract_z
Zr1 0.0000 0.0000 0.0000
Sc1 0.0000 0.5000 0.5000
Sc2 0.5000 0.0000 0.5000
Mo1 0.5000 0.5000 0.0000
# Polymorph energy (0 for the lowest one) in eV per atom: 0.090
# Calculated formation energy in eV per atom: 0.163
# Energy in eV per atom: -23.351
# M_tot in μB/f.u.: 0.0

# 3
# Na3CaHf, PBEsol geometry, DFT SCAN
data_Na3CaHf
_chemical_formula_sum 'Na3 Ca1 Hf1'
_cell_length_a 5.5624
_cell_length_b 5.5624
_cell_length_c 5.5624
_cell_angle_alpha 90.00
_cell_angle_beta 90.00
_cell_angle_gamma 90.00
_space_group_name_H-M_alt 'P m -3 m'
_space_group_IT_number 221
_space_group_name_Hall '-P 4 2 3'
loop_
_atom_site_label
_atom_site_fract_x
_atom_site_fract_y
_atom_site_fract_z
Na1 0.0000 0.0000 0.5000
Ca1 0.0000 0.0000 0.0000
Hf1 0.5000 0.5000 0.5000
# Calculated formation energy in eV per atom: 1.429
# Energy in eV per atom: -15.567
# M_tot in μB/f.u.: 2.8

# 4
# AlCuAg3, PBEsol geometry, DFT SCAN
data_AlCuAg3
_chemical_formula_sum 'Al1 Cu1 Ag3'
_cell_length_a 4.6599
_cell_length_b 4.6599
_cell_length_c 4.6599
_cell_angle_alpha 90.00
_cell_angle_beta 90.00
_cell_angle_gamma 90.00
_space_group_name_H-M_alt 'P m -3 m'
_space_group_IT_number 221
_space_group_name_Hall '-P 4 2 3'
loop_
_atom_site_label
_atom_site_fract_x
_atom_site_fract_y
_atom_site_fract_z
Al1 0.0000 0.0000 0.0000
Cu1 0.5000 0.5000 0.5000
Ag1 0.0000 0.5000 0.5000
# Polymorph energy (0 for the lowest one) in eV per atom: 0.000
# Calculated formation energy in eV per atom: 0.708
# Energy in eV per atom: -22.702
# M_tot in μB/f.u.: 0.0

# 5
# RbTiAg2O, PBEsol geometry, DFT SCAN
data_RbTiAg2O
_chemical_formula_sum 'Rb1 Ti1 Ag2 O1'
_cell_length_a 4.4837
_cell_length_b 4.4837
_cell_length_c 5.0776
_cell_angle_alpha 90.00
_cell_angle_beta 90.00
_cell_angle_gamma 90.00
_space_group_name_H-M_alt 'P 4/m m m'
_space_group_IT_number 123
_space_group_name_Hall '-P 4 2'
loop_
_atom_site_label
_atom_site_fract_x
_atom_site_fract_y
_atom_site_fract_z
Rb1 0.0000 0.0000 0.0000
Ti1 0.5000 0.5000 0.0000
Ag1 0.0000 0.5000 0.5000
O1 0.0000 0.0000 0.5000
# Formation energy (no corrections) in kcal/mol of atoms: 10.181
# Energy in eV per atom: -20.705
# M_tot in μB/f.u.: 3.2

# 6
# NaI2BrN, PBEsol geometry, DFT SCAN
data_NaI2BrN
_chemical_formula_sum 'Na1 I2 Br1 N1'
_cell_length_a 6.4342
_cell_length_b 6.4342
_cell_length_c 3.6973
_cell_angle_alpha 90.00
_cell_angle_beta 90.00
_cell_angle_gamma 90.00
_space_group_name_H-M_alt 'P 4/m m m'
_space_group_IT_number 123
_space_group_name_Hall '-P 4 2'
loop_
_atom_site_label
_atom_site_fract_x
_atom_site_fract_y
_atom_site_fract_z
Na1 0.0000 0.0000 0.0000
I1 0.0000 0.5000 0.5000
Br1 0.5000 0.5000 0.5000
N1 0.5000 0.5000 0.0000
# Formation energy (no corrections) in kcal/mol of atoms: 14.327
# Energy in eV per atom: -20.668
# M_tot in μB/f.u.: 0.0